(1)
Below is AlBC after structural relaxation, with properties calculated at the GGA-PBE level.

Unit cell a=3.614 b=3.033 c=5.819 alpha=90.00 beta=98.95 gamma=90.00
Positions (direct):
Al 0.000 0.000 0.000
Al 0.386 0.500 0.670
B 0.829 0.500 0.458
B 0.860 0.000 0.606
C 0.429 0.500 0.017
C 0.730 0.500 0.189

calculated formation energy = 0.32 eV/atom

***

(2)
Below is KFeRuBr6 after structural relaxation, with properties calculated at the GGA-PBE level.

Unit cell a=6.515 b=6.515 c=7.408 alpha=90.00 beta=90.00 gamma=120.00
Positions (direct):
K 0.000 0.000 0.000
Fe 0.667 0.333 0.500
Ru 0.333 0.667 0.500
Br 0.373 0.009 0.688
Br 0.373 0.364 0.312
Br 0.636 0.009 0.312
Br 0.636 0.627 0.688
Br 0.991 0.364 0.688
Br 0.991 0.627 0.312

formation energy without anion corrections = -4.8 eV per formula unit

***

(3)
Below is MnCoPt after structural relaxation, with properties calculated at the GGA-PBE level.

Unit cell a=4.191 b=4.191 c=2.682 alpha=90.00 beta=90.00 gamma=120.00
Positions (direct):
Mn 0.000 0.000 0.000
Co 0.667 0.333 0.781
Pt 0.333 0.667 0.379

calculated formation energy = -0.01 eV/atom

***

Number 1: D(E_F) 0.96 states/eV/cell, total DFT energy (no corrections) -6.22 eV/atom, magnetic moment 0.000 μB per cell. Number 2: D(E_F) 9.17 states/eV/cell, total DFT energy (no corrections) -3.74 eV/atom, magnetic moment 1.065 μB per cell. Number 3: D(E_F) 4.15 states/eV/cell, total DFT energy (no corrections) -7.45 eV/atom, magnetic moment 5.590 μB per cell.